# 1
Material: Ba2Li3ScF12
Method: DFT, PBE
State: optimized geometry

Structure (POSCAR):
```
Ba2Li3ScF12
1.0
3.515 2.030 6.009
-3.515 2.030 6.009
0.000 -4.059 6.009
Ba Li Sc F
2 3 1 12
Direct
0.115 0.115 0.115
0.885 0.885 0.885
0.000 0.500 0.500
0.500 0.000 0.500
0.500 0.500 0.000
0.500 0.500 0.500
0.151 0.151 0.612
0.151 0.612 0.151
0.154 0.591 0.591
0.388 0.849 0.849
0.409 0.409 0.846
0.409 0.846 0.409
0.591 0.154 0.591
0.591 0.591 0.154
0.612 0.151 0.151
0.846 0.409 0.409
0.849 0.388 0.849
0.849 0.849 0.388
```

- Crystal system: trigonal
- Space-group type: R-3m, No. 166
- N(E_F): 17.50 states/eV/cell
- Uncorrected formation energy: -3.00 eV/atom
- VASP energy: -5.127 eV/atom

# 2
Material: BaLiSeF
Method: DFT, PBE
State: optimized geometry

Structure (POSCAR):
```
BaLiSeF
1.0
4.328 0.000 0.000
0.000 4.328 0.000
0.000 0.000 9.476
Ba Li Se F
2 2 2 2
Direct
0.250 0.250 0.165
0.750 0.750 0.835
0.250 0.750 0.500
0.750 0.250 0.500
0.250 0.250 0.655
0.750 0.750 0.345
0.250 0.750 0.000
0.750 0.250 0.000
```

- Crystal system: tetragonal
- Space-group type: P4/nmm, No. 129
- N(E_F): 0.00 states/eV/cell
- Uncorrected formation energy: -2.46 eV/atom
- VASP energy: -4.757 eV/atom

# 3
Material: Ba2Li3SmF12
Method: DFT, PBE
State: optimized geometry

Structure (POSCAR):
```
Ba2Li3SmF12
1.0
3.549 2.049 5.768
-3.549 2.049 5.768
0.000 -4.098 5.768
Ba Li Sm F
2 3 1 12
Direct
0.106 0.106 0.106
0.894 0.894 0.894
0.000 0.500 0.500
0.500 0.000 0.500
0.500 0.500 0.000
0.500 0.500 0.500
0.091 0.640 0.640
0.230 0.230 0.643
0.230 0.643 0.230
0.357 0.770 0.770
0.360 0.360 0.909
0.360 0.909 0.360
0.640 0.091 0.640
0.640 0.640 0.091
0.643 0.230 0.230
0.770 0.357 0.770
0.770 0.770 0.357
0.909 0.360 0.360
```

- Crystal system: trigonal
- Space-group type: R-3m, No. 166
- N(E_F): 17.39 states/eV/cell
- Uncorrected formation energy: -3.06 eV/atom
- VASP energy: -5.100 eV/atom

# 4
Material: BaLi2SnF8
Method: DFT, PBE
State: optimized geometry

Structure (POSCAR):
```
BaLi2SnF8
1.0
4.762 0.000 0.000
1.023 5.099 0.000
1.174 1.256 7.448
Ba Li Sn F
1 2 1 8
Direct
0.000 0.000 0.000
0.457 0.453 0.209
0.543 0.547 0.791
0.000 0.000 0.500
0.181 0.761 0.712
0.210 0.777 0.313
0.293 0.232 0.448
0.390 0.292 0.008
0.610 0.708 0.992
0.707 0.768 0.552
0.790 0.223 0.687
0.819 0.239 0.288
```

- Crystal system: triclinic
- Space-group type: P-1, No. 2
- N(E_F): 0.00 states/eV/cell
- Uncorrected formation energy: -2.96 eV/atom
- VASP energy: -5.021 eV/atom

# 5
Material: BaSr2LiF
Method: DFT, PBE
State: optimized geometry

Structure (POSCAR):
```
BaSr2LiF
1.0
5.332 0.000 0.000
0.000 5.332 0.000
0.000 0.000 6.416
Ba Sr Li F
1 2 1 1
Direct
0.000 0.000 0.000
0.000 0.500 0.500
0.500 0.000 0.500
0.500 0.500 0.000
0.000 0.000 0.500
```

- Crystal system: tetragonal
- Space-group type: P4/mmm, No. 123
- N(E_F): 2.99 states/eV/cell
- Uncorrected formation energy: -0.99 eV/atom
- VASP energy: -2.804 eV/atom

# 6
Material: BaLiTeF
Method: DFT, PBE
State: optimized geometry

Structure (POSCAR):
```
BaLiTeF
1.0
4.537 0.000 0.000
0.000 4.537 0.000
0.000 0.000 9.852
Ba Li Te F
2 2 2 2
Direct
0.250 0.250 0.149
0.750 0.750 0.851
0.250 0.750 0.500
0.750 0.250 0.500
0.250 0.250 0.668
0.750 0.750 0.332
0.250 0.750 0.000
0.750 0.250 0.000
```

- Crystal system: tetragonal
- Space-group type: P4/nmm, No. 129
- N(E_F): 0.00 states/eV/cell
- Uncorrected formation energy: -2.32 eV/atom
- VASP energy: -4.532 eV/atom

# 7
Material: Ba2Li3ThF12
Method: DFT, PBE
State: optimized geometry

Structure (POSCAR):
```
Ba2Li3ThF12
1.0
3.567 2.059 5.694
-3.567 2.059 5.694
0.000 -4.118 5.694
Ba Li Th F
2 3 1 12
Direct
0.104 0.104 0.104
0.896 0.896 0.896
0.000 0.500 0.500
0.500 0.000 0.500
0.500 0.500 0.000
0.500 0.500 0.500
0.088 0.646 0.646
0.242 0.242 0.636
0.242 0.636 0.242
0.354 0.354 0.912
0.354 0.912 0.354
0.364 0.758 0.758
0.636 0.242 0.242
0.646 0.088 0.646
0.646 0.646 0.088
0.758 0.364 0.758
0.758 0.758 0.364
0.912 0.354 0.354
```

- Crystal system: trigonal
- Space-group type: R-3m, No. 166
- N(E_F): 15.70 states/eV/cell
- Uncorrected formation energy: -3.33 eV/atom
- VASP energy: -5.517 eV/atom

# 8
Material: Ba2Li3TiF12
Method: DFT, PBE
State: optimized geometry

Structure (POSCAR):
```
Ba2Li3TiF12
1.0
3.770 2.176 5.536
-3.770 2.176 5.536
0.000 -4.353 5.536
Ba Li Ti F
2 3 1 12
Direct
0.150 0.150 0.150
0.850 0.850 0.850
0.000 0.500 0.500
0.500 0.000 0.500
0.500 0.500 0.000
0.500 0.500 0.500
0.124 0.124 0.562
0.124 0.562 0.124
0.201 0.556 0.556
0.438 0.876 0.876
0.444 0.444 0.799
0.444 0.799 0.444
0.556 0.201 0.556
0.556 0.556 0.201
0.562 0.124 0.124
0.799 0.444 0.444
0.876 0.438 0.876
0.876 0.876 0.438
```

- Crystal system: trigonal
- Space-group type: R-3m, No. 166
- N(E_F): 15.51 states/eV/cell
- Uncorrected formation energy: -3.11 eV/atom
- VASP energy: -5.325 eV/atom

# 9
Material: BaLiTiF2
Method: DFT, PBE
State: optimized geometry

Structure (POSCAR):
```
BaLiTiF2
1.0
4.142 0.000 0.000
0.000 4.142 0.000
0.000 0.000 7.716
Ba Li Ti F
1 1 1 2
Direct
0.000 0.000 0.000
0.500 0.500 0.000
0.000 0.000 0.500
0.000 0.500 0.500
0.500 0.000 0.500
```

- Crystal system: tetragonal
- Space-group type: P4/mmm, No. 123
- N(E_F): 5.66 states/eV/cell
- Uncorrected formation energy: -1.13 eV/atom
- VASP energy: -4.223 eV/atom

# 10
Material: Ba2LiTlF
Method: DFT, PBE
State: optimized geometry

Structure (POSCAR):
```
Ba2LiTlF
1.0
5.885 0.000 0.000
0.000 5.885 0.000
0.000 0.000 4.356
Ba Li Tl F
2 1 1 1
Direct
0.000 0.500 0.000
0.500 0.000 0.000
0.000 0.000 0.500
0.500 0.500 0.500
0.000 0.000 0.000
```

- Crystal system: tetragonal
- Space-group type: P4/mmm, No. 123
- N(E_F): 2.71 states/eV/cell
- Uncorrected formation energy: -1.26 eV/atom
- VASP energy: -3.263 eV/atom

# 11
Material: BaLiUF6
Method: DFT, PBE
State: optimized geometry

Structure (POSCAR):
```
BaLiUF6
1.0
5.813 0.000 0.000
-2.907 5.035 0.000
0.000 0.000 11.274
Ba Li U F
2 2 2 12
Direct
0.000 0.000 0.000
0.000 0.000 0.500
0.333 0.667 0.250
0.667 0.333 0.750
0.333 0.667 0.750
0.667 0.333 0.250
0.026 0.377 0.142
0.026 0.649 0.358
0.351 0.377 0.358
0.351 0.974 0.142
0.377 0.026 0.642
0.377 0.351 0.858
0.623 0.649 0.142
0.623 0.974 0.358
0.649 0.026 0.858
0.649 0.623 0.642
0.974 0.351 0.642
0.974 0.623 0.858
```

- Crystal system: trigonal
- Space-group type: P-31c, No. 163
- N(E_F): 20.72 states/eV/cell
- Uncorrected formation energy: -3.38 eV/atom
- VASP energy: -6.308 eV/atom

# 12
Material: Ba2Li3UF12
Method: DFT, PBE
State: optimized geometry

Structure (POSCAR):
```
Ba2Li3UF12
1.0
3.449 1.991 5.991
-3.449 1.991 5.991
0.000 -3.983 5.991
Ba Li U F
2 3 1 12
Direct
0.099 0.099 0.099
0.901 0.901 0.901
0.000 0.500 0.500
0.500 0.000 0.500
0.500 0.500 0.000
0.500 0.500 0.500
0.108 0.643 0.643
0.241 0.241 0.639
0.241 0.639 0.241
0.357 0.357 0.892
0.357 0.892 0.357
0.361 0.759 0.759
0.639 0.241 0.241
0.643 0.108 0.643
0.643 0.643 0.108
0.759 0.361 0.759
0.759 0.759 0.361
0.892 0.357 0.357
```

- Crystal system: trigonal
- Space-group type: R-3m, No. 166
- N(E_F): 0.80 states/eV/cell
- Uncorrected formation energy: -3.31 eV/atom
- VASP energy: -5.712 eV/atom

Q: What is the formula in the fourth record?
A: BaLi2SnF8